Ac3SmY2 | PBE-GGA | optimized geometry

Structure (POSCAR):
```
Ac3SmY2
1.0
5.393 -3.789 0.000
5.393 3.789 0.000
-5.387 0.000 11.380
Ac Sm Y
6 2 4
direct
0.125 0.875 0.750
0.208 0.458 0.916
0.458 0.208 0.416
0.542 0.792 0.584
0.792 0.542 0.084
0.875 0.125 0.250
0.375 0.625 0.250
0.625 0.375 0.750
0.042 0.291 0.583
0.291 0.042 0.083
0.709 0.958 0.917
0.958 0.709 0.417
```

D(E_F) = 1.8984 states/eV per atom
Electronic total energy = -59.2 eV per cell
Formation enthalpy at 0 K = 65.2 meV/atom
Volume = 38.8 A^3/atom